Entry 1:
A relaxed LaTcC2 crystal, computed with PBE.

Cell and atoms, written as extended XYZ:
```
8
Lattice="-1.825 4.208 -1.229 -3.954 -2.155 -1.506 -5.301 1.593 4.154" Properties=species:S:1:pos:R:3 pbc="T T T"
C -2.505 1.709 0.389
C -4.480 0.627 -0.363
C -7.129 1.427 1.714
C -8.046 3.529 1.098
Tc -2.889 1.027 -1.367
Tc -6.072 0.233 0.640
La 0.000 0.000 0.000
La -5.008 3.414 0.779
```

Computed properties:
- Uncorrected energy: -8.2695 eV per atom
- Symmetry: No. 141
- E_form: 0.166 eV/atom
- Crystal system: tetragonal


Entry 2:
A relaxed Pm2AsRh6 crystal, computed with PBE.

Cell and atoms, written as extended XYZ:
```
9
Lattice="5.639 0.000 0.000 -2.820 4.713 1.124 0.000 0.145 6.070" Properties=species:S:1:pos:R:3 pbc="T T T"
Pm 2.820 1.362 1.329
Pm 0.000 3.496 5.865
As 0.000 0.000 0.000
Rh 4.177 1.399 4.455
Rh 2.820 3.721 5.006
Rh 1.462 1.399 4.455
Rh -1.357 3.459 2.739
Rh 0.000 1.137 2.188
Rh 1.357 3.459 2.739
```

Computed properties:
- Uncorrected energy: -7.0574 eV per atom
- Symmetry: No. 12
- E_form: -0.584 eV/atom
- Crystal system: monoclinic


Entry 3:
A relaxed BeCrSb crystal, computed with PBE.

Cell and atoms, written as extended XYZ:
```
3
Lattice="-1.218 2.614 1.040 -1.771 -2.054 -1.429 -1.194 -2.677 5.330" Properties=species:S:1:pos:R:3 pbc="T T T"
Sb -2.374 -2.263 2.909
Be -0.038 -0.084 0.168
Cr -1.771 0.230 1.865
```

Computed properties:
- Raw formation energy: 0.7002 eV per atom
- Uncorrected energy: -5.1238 eV per atom
- Symmetry: No. 156
- Crystal system: trigonal


Entry 4:
A relaxed AsIrCl2 crystal, computed with PBE.

Cell and atoms, written as extended XYZ:
```
4
Lattice="3.582 0.000 0.000 0.000 3.581 0.000 0.000 0.000 7.850" Properties=species:S:1:pos:R:3 pbc="T T T"
As 1.791 1.791 4.745
Ir 0.000 0.000 5.053
Cl 0.000 0.000 7.314
Cl 1.791 1.791 2.514
```

Computed properties:
- Raw formation energy: -0.0544 eV per atom
- Uncorrected energy: -4.3554 eV per atom
- Symmetry: No. 99
- Crystal system: tetragonal


Entry 5:
A relaxed CdFe2Tc crystal, computed with PBE.

Cell and atoms, written as extended XYZ:
```
4
Lattice="-3.437 -0.758 2.551 -3.570 -1.845 -1.656 -1.043 -4.077 1.086" Properties=species:S:1:pos:R:3 pbc="T T T"
Cd -4.025 -3.340 0.991
Fe 0.000 0.000 0.000
Fe -2.013 -1.670 0.495
Tc -6.038 -5.010 1.486
```

Computed properties:
- Uncorrected energy: -6.5289 eV per atom
- Symmetry: No. 216
- E_form: 0.523 eV/atom
- Crystal system: cubic


Entry 6:
A relaxed Ce2ErThBi4 crystal, computed with PBE.

Cell and atoms, written as extended XYZ:
```
8
Lattice="-4.371 0.195 -1.288 -1.833 -5.565 5.380 -1.856 3.472 6.821" Properties=species:S:1:pos:R:3 pbc="T T T"
Ce -1.856 3.471 6.821
Ce -3.113 1.833 2.766
Er -3.102 -2.685 2.046
Th -1.845 -1.047 6.101
Bi -2.768 -1.508 9.163
Bi -5.293 -0.391 1.750
Bi -4.011 -3.209 5.050
Bi -4.049 1.310 5.863
```

Computed properties:
- Uncorrected energy: -5.6707 eV per atom
- Symmetry: No. 10
- E_form: -0.749 eV/atom
- Crystal system: monoclinic


Entry 7:
A relaxed InSiHg crystal, computed with PBE.

Cell and atoms, written as extended XYZ:
```
3
Lattice="6.749 -0.039 0.033 5.766 3.158 0.075 0.983 -0.468 3.162" Properties=species:S:1:pos:R:3 pbc="T T T"
Hg 1.108 -0.429 3.129
In 4.729 0.697 2.170
Si 8.644 1.915 1.133
```

Computed properties:
- Raw formation energy: 0.3863 eV per atom
- Uncorrected energy: -2.4348 eV per atom
- Symmetry: No. 42
- Crystal system: orthorhombic


Entry 8:
A relaxed Ca2SNCl crystal, computed with PBE.

Cell and atoms, written as extended XYZ:
```
5
Lattice="-3.549 -1.419 3.498 -1.213 -2.847 -2.386 3.415 -3.252 2.146" Properties=species:S:1:pos:R:3 pbc="T T T"
Ca 1.708 -1.626 1.073
Ca -1.775 -0.710 1.749
N -0.606 -1.424 -1.193
S -0.673 -3.759 1.629
Cl 0.000 0.000 0.000
```

Computed properties:
- Raw formation energy: -0.3901 eV per atom
- Uncorrected energy: -4.0506 eV per atom
- Symmetry: No. 123
- Crystal system: tetragonal


Entry 9:
A relaxed PmNd4Cd crystal, computed with PBE.

Cell and atoms, written as extended XYZ:
```
6
Lattice="-0.902 -0.749 -3.508 3.582 -0.001 -0.921 0.723 -14.147 2.835" Properties=species:S:1:pos:R:3 pbc="T T T"
Pm 0.000 0.000 0.000
Nd 1.469 -2.892 -1.710
Nd 0.466 -9.122 1.828
Nd 0.257 -5.024 1.007
Nd 1.935 -12.005 0.116
Cd 1.702 -7.449 -0.797
```

Computed properties:
- Uncorrected energy: -4.2200 eV per atom
- Symmetry: No. 123
- E_form: -0.097 eV/atom
- Crystal system: tetragonal


Entry 10:
A relaxed V4Pd2S crystal, computed with PBE.

Cell and atoms, written as extended XYZ:
```
7
Lattice="4.274 0.000 0.000 0.000 4.274 0.000 2.137 2.137 6.282" Properties=species:S:1:pos:R:3 pbc="T T T"
S 0.000 0.000 0.000
Pd 2.137 2.137 1.624
Pd 4.274 4.274 4.658
V 2.137 2.137 4.024
V 4.274 4.274 2.258
V 0.000 2.137 0.000
V 2.137 0.000 0.000
```

Computed properties:
- Raw formation energy: 0.1731 eV per atom
- Uncorrected energy: -7.1108 eV per atom
- Symmetry: No. 139
- Crystal system: tetragonal


Entry 11:
A relaxed FeCu2Mo crystal, computed with PBE.

Cell and atoms, written as extended XYZ:
```
4
Lattice="2.583 0.032 0.000 -0.433 2.546 0.000 0.000 0.000 7.905" Properties=species:S:1:pos:R:3 pbc="T T T"
Cu 0.000 0.000 0.120
Cu 1.075 1.289 1.980
Fe 0.000 0.000 3.834
Mo 1.075 1.289 5.923
```

Computed properties:
- Uncorrected energy: -6.7172 eV per atom
- Symmetry: No. 35
- E_form: 0.154 eV/atom
- Crystal system: orthorhombic


Entry 12:
A relaxed TiHIrRh2 crystal, computed with PBE.

Cell and atoms, written as extended XYZ:
```
5
Lattice="3.854 0.000 0.000 0.000 3.854 0.000 0.000 0.000 4.018" Properties=species:S:1:pos:R:3 pbc="T T T"
H 0.000 0.000 0.000
Ir 1.927 1.927 2.009
Rh 0.000 1.927 0.000
Rh 1.927 0.000 0.000
Ti 0.000 0.000 2.009
```

Computed properties:
- Uncorrected energy: -7.4845 eV per atom
- Symmetry: No. 123
- Crystal system: tetragonal


Among the records above, which one has the highest uncorrected energy? InSiHg